## SrVPbF6 (GGA+U)

Data for crystalline SrVPbF6 at its relaxed geometry.

## Properties
VASP energy	-5.620	eV/atom

Geometry as CIF:
```
data_SrVPbF6
_chemical_formula_sum 'Sr2 V2 Pb2 F12'
_cell_length_a 6.0753
_cell_length_b 6.0753
_cell_length_c 9.8060
_cell_angle_alpha 90.00
_cell_angle_beta 90.00
_cell_angle_gamma 120.00
_space_group_name_H-M_alt 'P -3 1 c'
_space_group_IT_number 163
_space_group_name_Hall '-P 3 2c'
loop_
_atom_site_label
_atom_site_type_symbol
_atom_site_fract_x
_atom_site_fract_y
_atom_site_fract_z
Sr1 Sr 0.3333 0.6667 0.2500
V1 V 0.3333 0.6667 0.7500
Pb1 Pb 0.0000 0.0000 0.0000
F1 F 0.0374 0.3664 0.6347
```